# 1
Material: Ce2ThPd2S6
Method: DFT, PBE-GGA
State: optimized geometry

The value obtained for the formation energy from raw total energies is -14.7 eV per formula unit. As for the magnetization: 0.3 μB/cell.

It has space group P-3 (No. 147), with a = 7.2562 Å, b = 7.2562 Å, c = 5.7724 Å, α = 90.00°, β = 90.00° and γ = 120.00°. The asymmetric unit holds Ce at (0.3333, 0.6667, 0.0878), Th at (0.0000, 0.0000, 0.0000), Pd at (0.3333, 0.6667, 0.5397) and S at (0.0427, 0.6881, 0.7658).


# 2
Material: Zr2SiGe
Method: DFT, PBE-GGA
State: optimized geometry

The value obtained for the formation energy from raw total energies is -3.4 eV per formula unit. As for the magnetization: 0.0 μB/cell.

It has space group P2_1/m (No. 11), with a = 5.395 Å, b = 3.816 Å, c = 7.623 Å, α = 90.00°, β = 110.52° and γ = 90.00°. The asymmetric unit holds Zr at (0.209, 0.250, 0.424), Zr at (0.278, 0.750, 0.069), Si at (0.126, 0.250, 0.792) and Ge at (0.375, 0.750, 0.708).


# 3
Material: DyTiTc4
Method: DFT, PBE-GGA
State: optimized geometry

As for the magnetization: 0.0 μB/cell. For the formation energy, the calculation gives -0.102 eV per atom.

It has space group F-43m (No. 216), with a = 7.460 Å, b = 7.460 Å, c = 7.460 Å, α = 90.00°, β = 90.00° and γ = 90.00°. The asymmetric unit holds Dy at (0.000, 0.000, 0.000), Ti at (0.250, 0.250, 0.750) and Tc at (0.124, 0.124, 0.376).


# 4
Material: MnTl2Cl
Method: DFT, PBE-GGA
State: optimized geometry

The value obtained for the formation energy from raw total energies is 0.0 eV per formula unit. The polymorph energy (0 for the lowest one) comes out at 123 meV per atom. As for the magnetization: 8.2 μB/cell.

It has space group Cmmm (No. 65), with a = 7.668 Å, b = 7.736 Å, c = 3.291 Å, α = 90.00°, β = 90.00° and γ = 90.00°. The asymmetric unit holds Mn at (0.000, 0.000, 0.000), Tl at (0.250, 0.250, 0.500) and Cl at (0.000, 0.500, 0.000).


Number 1: mass density 5.79 Mg/m³. Number 2: mass density 6.40 Mg/m³. Number 3: mass density 9.64 Mg/m³. Number 4: mass density 8.49 Mg/m³.